(1)
5
Lattice="4.796 0.000 0.000 0.000 4.796 0.000 0.000 0.000 4.329" Properties=species:S:1:pos:R:3 comment="Sc2MnAlS (PBE, relaxed)" formation_energy_uncorrected_ev_per_atom=-0.50 space_group="No. 123" pbc="T T T"
Sc 0.000 2.398 0.000
Sc 2.398 0.000 0.000
Mn 0.000 0.000 2.164
Al 2.398 2.398 2.164
S 0.000 0.000 0.000


(2)
5
Lattice="5.044 0.000 0.000 0.000 5.044 0.000 0.000 0.000 3.948" Properties=species:S:1:pos:R:3 comment="Li2TiBeB (PBE, relaxed)" relative_energy_ev_per_atom=0.9836 e_form_ev_per_fu=7.58 space_group="No. 123" pbc="T T T"
Li 0.000 2.522 0.000
Li 2.522 0.000 0.000
Ti 0.000 0.000 0.000
Be 2.522 2.522 1.974
B 0.000 0.000 1.974